1.
# PBE LiNb2Fe, relaxed
# energy of formation	0.515	eV/atom
# SG	I-42d (122)
# theoretical density	6.4	g/cm³
# uncorrected energy	-7.114	eV/atom
data_LiNb2Fe
_chemical_formula_sum 'Li2 Nb4 Fe2'
_cell_length_a 6.910
_cell_length_b 6.910
_cell_length_c 5.587
_cell_angle_alpha 51.80
_cell_angle_beta 51.80
_cell_angle_gamma 90.00
_symmetry_space_group_name_H-M 'P 1'
_symmetry_Int_Tables_number 1
loop_
_symmetry_equiv_pos_as_xyz
'x,y,z'
loop_
_atom_site_label
_atom_site_type_symbol
_atom_site_fract_x
_atom_site_fract_y
_atom_site_fract_z
Nb1 Nb 0.661 0.125 0.250
Nb2 Nb 0.089 0.625 0.250
Nb3 Nb 0.375 0.339 0.750
Nb4 Nb 0.875 0.911 0.750
Fe1 Fe 0.000 0.000 0.000
Fe2 Fe 0.750 0.250 0.500
Li1 Li 0.500 0.500 0.000
Li2 Li 0.250 0.750 0.500

***

2.
# PBE Ba4H7Rh, relaxed
# SG	C2/m (12)
# theoretical density	4.7	g/cm³
# uncorrected energy	-3.632	eV/atom
data_Ba4H7Rh
_chemical_formula_sum 'Ba4 H7 Rh1'
_cell_length_a 4.223
_cell_length_b 7.787
_cell_length_c 7.814
_cell_angle_alpha 76.57
_cell_angle_beta 74.32
_cell_angle_gamma 74.27
_symmetry_space_group_name_H-M 'P 1'
_symmetry_Int_Tables_number 1
loop_
_symmetry_equiv_pos_as_xyz
'x,y,z'
loop_
_atom_site_label
_atom_site_type_symbol
_atom_site_fract_x
_atom_site_fract_y
_atom_site_fract_z
Ba1 Ba 0.584 0.203 0.630
Ba2 Ba 0.416 0.797 0.370
Ba3 Ba 0.711 0.702 0.875
Ba4 Ba 0.289 0.298 0.125
H1 H 0.793 0.864 0.551
H2 H 0.207 0.136 0.449
H3 H 0.059 0.775 0.107
H4 H 0.941 0.225 0.893
H5 H 0.360 0.530 0.750
H6 H 0.500 0.000 0.000
H7 H 0.640 0.470 0.250
Rh1 Rh 0.000 0.000 0.000

***

3.
# PBE CoRh, relaxed
# energy of formation	0.279	eV/atom
# SG	Cmm2 (35)
# theoretical density	10.2	g/cm³
# uncorrected energy	-6.950	eV/atom
data_CoRh
_chemical_formula_sum 'Co3 Rh3'
_cell_length_a 2.608
_cell_length_b 2.608
_cell_length_c 13.109
_cell_angle_alpha 90.00
_cell_angle_beta 90.00
_cell_angle_gamma 117.55
_symmetry_space_group_name_H-M 'P 1'
_symmetry_Int_Tables_number 1
loop_
_symmetry_equiv_pos_as_xyz
'x,y,z'
loop_
_atom_site_label
_atom_site_type_symbol
_atom_site_fract_x
_atom_site_fract_y
_atom_site_fract_z
Co1 Co 0.000 0.000 0.005
Co2 Co 0.500 0.500 0.165
Co3 Co 0.500 0.500 0.497
Rh1 Rh 0.000 0.000 0.330
Rh2 Rh 0.000 0.000 0.661
Rh3 Rh 0.500 0.500 0.842

***

4.
# PBE Sc2SeS2, relaxed
# SG	C2/c (15)
# theoretical density	3.5	g/cm³
# uncorrected energy	-6.517	eV/atom
data_Sc2SeS2
_chemical_formula_sum 'Sc4 Se2 S4'
_cell_length_a 6.570
_cell_length_b 6.570
_cell_length_c 5.775
_cell_angle_alpha 109.16
_cell_angle_beta 109.16
_cell_angle_gamma 93.55
_symmetry_space_group_name_H-M 'P 1'
_symmetry_Int_Tables_number 1
loop_
_symmetry_equiv_pos_as_xyz
'x,y,z'
loop_
_atom_site_label
_atom_site_type_symbol
_atom_site_fract_x
_atom_site_fract_y
_atom_site_fract_z
Sc1 Sc 0.405 0.595 0.250
Sc2 Sc 0.833 0.167 0.250
Sc3 Sc 0.167 0.833 0.750
Sc4 Sc 0.595 0.405 0.750
Se1 Se 0.130 0.870 0.250
Se2 Se 0.870 0.130 0.750
S1 S 0.783 0.565 0.515
S2 S 0.435 0.217 0.985
S3 S 0.565 0.783 0.015
S4 S 0.217 0.435 0.485

***

5.
# PBE TaW2Se2, relaxed
# SG	I4/mmm (139)
# theoretical density	12.8	g/cm³
# uncorrected energy	-8.139	eV/atom
data_TaW2Se2
_chemical_formula_sum 'Ta1 W2 Se2'
_cell_length_a 4.594
_cell_length_b 4.594
_cell_length_c 5.433
_cell_angle_alpha 64.99
_cell_angle_beta 64.99
_cell_angle_gamma 90.00
_symmetry_space_group_name_H-M 'P 1'
_symmetry_Int_Tables_number 1
loop_
_symmetry_equiv_pos_as_xyz
'x,y,z'
loop_
_atom_site_label
_atom_site_type_symbol
_atom_site_fract_x
_atom_site_fract_y
_atom_site_fract_z
Se1 Se 0.358 0.358 0.284
Se2 Se 0.642 0.642 0.716
W1 W 0.750 0.250 0.500
W2 W 0.250 0.750 0.500
Ta1 Ta 0.000 0.000 0.000

***

6.
# PBE TiIr2Au, relaxed
# energy of formation	0.120	eV/atom
# SG	I-42d (122)
# theoretical density	15.4	g/cm³
# uncorrected energy	-7.103	eV/atom
data_TiIr2Au
_chemical_formula_sum 'Ti2 Ir4 Au2'
_cell_length_a 3.881
_cell_length_b 3.881
_cell_length_c 9.447
_cell_angle_alpha 78.15
_cell_angle_beta 78.15
_cell_angle_gamma 90.00
_symmetry_space_group_name_H-M 'P 1'
_symmetry_Int_Tables_number 1
loop_
_symmetry_equiv_pos_as_xyz
'x,y,z'
loop_
_atom_site_label
_atom_site_type_symbol
_atom_site_fract_x
_atom_site_fract_y
_atom_site_fract_z
Ir1 Ir 0.619 0.125 0.250
Ir2 Ir 0.131 0.625 0.250
Ir3 Ir 0.375 0.381 0.750
Ir4 Ir 0.875 0.869 0.750
Au1 Au 0.000 0.000 0.000
Au2 Au 0.750 0.250 0.500
Ti1 Ti 0.500 0.500 0.000
Ti2 Ti 0.250 0.750 0.500

***

7.
# PBE ZrAlTc, relaxed
# energy of formation	-0.282	eV/atom
# SG	P2_1/m (11)
# theoretical density	6.6	g/cm³
# uncorrected energy	-7.834	eV/atom
data_ZrAlTc
_chemical_formula_sum 'Zr4 Al4 Tc4'
_cell_length_a 5.201
_cell_length_b 7.342
_cell_length_c 7.342
_cell_angle_alpha 70.33
_cell_angle_beta 62.20
_cell_angle_gamma 62.20
_symmetry_space_group_name_H-M 'P 1'
_symmetry_Int_Tables_number 1
loop_
_symmetry_equiv_pos_as_xyz
'x,y,z'
loop_
_atom_site_label
_atom_site_type_symbol
_atom_site_fract_x
_atom_site_fract_y
_atom_site_fract_z
Zr1 Zr 0.302 0.607 0.856
Zr2 Zr 0.699 0.894 0.643
Zr3 Zr 0.698 0.393 0.144
Zr4 Zr 0.301 0.106 0.357
Tc1 Tc 0.087 0.393 0.643
Tc2 Tc 0.088 0.893 0.143
Tc3 Tc 0.913 0.607 0.357
Tc4 Tc 0.912 0.107 0.857
Al1 Al 0.673 0.312 0.562
Al2 Al 0.673 0.811 0.061
Al3 Al 0.327 0.688 0.438
Al4 Al 0.327 0.189 0.939

***

8.
# PBE Tb6PdRh5, relaxed
# energy of formation	-0.852	eV/atom
# SG	P2/m (10)
# theoretical density	10.6	g/cm³
# uncorrected energy	-6.663	eV/atom
data_Tb6PdRh5
_chemical_formula_sum 'Tb6 Pd1 Rh5'
_cell_length_a 4.848
_cell_length_b 7.002
_cell_length_c 7.680
_cell_angle_alpha 90.00
_cell_angle_beta 71.44
_cell_angle_gamma 90.00
_symmetry_space_group_name_H-M 'P 1'
_symmetry_Int_Tables_number 1
loop_
_symmetry_equiv_pos_as_xyz
'x,y,z'
loop_
_atom_site_label
_atom_site_type_symbol
_atom_site_fract_x
_atom_site_fract_y
_atom_site_fract_z
Rh1 Rh 0.667 0.500 0.666
Rh2 Rh 0.334 0.000 0.332
Rh3 Rh 0.000 0.500 0.000
Rh4 Rh 0.666 0.000 0.668
Rh5 Rh 0.333 0.500 0.334
Tb1 Tb 0.832 0.749 0.336
Tb2 Tb 0.832 0.251 0.336
Tb3 Tb 0.500 0.254 0.000
Tb4 Tb 0.500 0.746 0.000
Tb5 Tb 0.168 0.749 0.664
Tb6 Tb 0.168 0.251 0.664
Pd1 Pd 0.000 0.000 0.000

***

Copy entry 7 word for word.
# PBE ZrAlTc, relaxed
# energy of formation	-0.282	eV/atom
# SG	P2_1/m (11)
# theoretical density	6.6	g/cm³
# uncorrected energy	-7.834	eV/atom
data_ZrAlTc
_chemical_formula_sum 'Zr4 Al4 Tc4'
_cell_length_a 5.201
_cell_length_b 7.342
_cell_length_c 7.342
_cell_angle_alpha 70.33
_cell_angle_beta 62.20
_cell_angle_gamma 62.20
_symmetry_space_group_name_H-M 'P 1'
_symmetry_Int_Tables_number 1
loop_
_symmetry_equiv_pos_as_xyz
'x,y,z'
loop_
_atom_site_label
_atom_site_type_symbol
_atom_site_fract_x
_atom_site_fract_y
_atom_site_fract_z
Zr1 Zr 0.302 0.607 0.856
Zr2 Zr 0.699 0.894 0.643
Zr3 Zr 0.698 0.393 0.144
Zr4 Zr 0.301 0.106 0.357
Tc1 Tc 0.087 0.393 0.643
Tc2 Tc 0.088 0.893 0.143
Tc3 Tc 0.913 0.607 0.357
Tc4 Tc 0.912 0.107 0.857
Al1 Al 0.673 0.312 0.562
Al2 Al 0.673 0.811 0.061
Al3 Al 0.327 0.688 0.438
Al4 Al 0.327 0.189 0.939